(1)
Computed, not measured: a geometry-optimized Na2UAs2Rh structure at the PBE level of DFT.

Structure (POSCAR):
```
Na2UAs2Rh
1.0
4.160 0.000 0.000
0.000 7.074 0.000
0.000 0.000 8.641
As Rh U Na
4 2 2 4
Direct
0.000 0.251 0.810
0.500 0.771 0.635
0.000 0.751 0.190
0.500 0.271 0.365
0.500 0.164 0.639
0.500 0.664 0.361
0.000 0.485 0.538
0.000 0.985 0.462
0.000 0.856 0.856
0.500 0.518 0.913
0.500 0.018 0.087
0.000 0.356 0.144
```

Output
E: -67.1 eV for the cell shown
Energy of formation: -0.4953 eV/atom
N(E_F): 11.38 states/eV/cell

(2)
Computed, not measured: a geometry-optimized Na3Ga structure at the PBE level of DFT.

Structure (POSCAR):
```
Na3Ga
1.0
4.817 0.000 0.000
0.000 4.817 0.000
0.000 0.000 4.817
Na Ga
3 1
Direct
0.500 0.500 0.000
0.500 0.000 0.500
0.000 0.500 0.500
0.000 0.000 0.000
```

Output
E: -6.8 eV for the cell shown
Energy of formation: 0.0371 eV/atom
N(E_F): 1.62 states/eV/cell

Number 1: magnetic moment 2.3 μB per cell. Number 2: magnetic moment 0.0 μB per cell.